#a
A crystal of RhWSeN2 relaxed with PBEsol, computed with SCAN.

Unit cell a=3.769 b=3.769 c=5.077 alpha=90.00 beta=90.00 gamma=90.00
Each line ends with the local moment (μB).
Fractional positions:
Rh 0.000 0.000 0.000  -0.05
Se 0.000 0.000 0.500  -0.07
W 0.500 0.500 0.500  2.68
N 0.000 0.500 0.000  -0.54
N 0.500 0.000 0.000  -0.54

Magnetic moment in μB per cell: 1.79
DOS(E_F) in states/eV/f.u.: 3.82

---

#b
A crystal of RhWSeN2 relaxed with PBEsol, computed with SCAN.

Unit cell a=3.821 b=3.821 c=5.197 alpha=90.00 beta=90.00 gamma=90.00
Fractional positions:
Rh 0.500 0.500 0.500
Se 0.000 0.000 0.500
W 0.000 0.000 0.000
N 0.000 0.500 0.000
N 0.500 0.000 0.000

Magnetic moment in μB per cell: 0.00
DOS(E_F) in states/eV/f.u.: 2.90

---

Quick one: least stable of them? #a

---

#a
A crystal of TlRhN2 relaxed with PBEsol, computed with SCAN.

Unit cell a=3.118 b=3.118 c=6.641 alpha=76.42 beta=76.42 gamma=60.00
Fractional positions:
Tl 0.000 0.000 0.000
Rh 0.500 0.500 0.500
N 0.883 0.883 0.352
N 0.117 0.117 0.648

Magnetic moment in μB per cell: 0.00
DOS(E_F) in states/eV/f.u.: 3.08

---

#b
A crystal of TlRhN2 relaxed with PBEsol, computed with SCAN.

Unit cell a=3.329 b=3.329 c=6.574 alpha=75.33 beta=75.33 gamma=60.00
Fractional positions:
Tl 0.500 0.500 0.500
Rh 0.000 0.000 0.000
N 0.904 0.904 0.287
N 0.096 0.096 0.713

Magnetic moment in μB per cell: 0.00
DOS(E_F) in states/eV/f.u.: 1.78

---

Quick one: least stable of them? #b

---

#a
A crystal of SbS2N relaxed with PBEsol, computed with SCAN.

Unit cell a=4.465 b=4.465 c=4.465 alpha=60.00 beta=60.00 gamma=60.00
Each line ends with the local moment (μB).
Fractional positions:
Sb 0.500 0.500 0.500  -0.02
S 0.250 0.250 0.250  -0.10
S 0.750 0.750 0.750  -0.10
N 0.000 0.000 0.000  1.42

Magnetic moment in μB per cell: 1.69
DOS(E_F) in states/eV/f.u.: 2.68

---

#b
A crystal of SbS2N relaxed with PBEsol, computed with SCAN.

Unit cell a=5.266 b=5.266 c=6.398 alpha=114.30 beta=114.30 gamma=90.00
Fractional positions:
Sb 0.250 0.750 0.500
Sb 0.000 0.000 0.000
S 0.563 0.875 0.250
S 0.687 0.375 0.250
S 0.125 0.313 0.750
S 0.625 0.437 0.750
N 0.750 0.250 0.500
N 0.500 0.500 0.000

Magnetic moment in μB per cell: 0.00
DOS(E_F) in states/eV/f.u.: 2.47

---

Quick one: least stable of them? #a

---

#a
A crystal of SrTaSN2 relaxed with PBEsol, computed with SCAN.

Unit cell a=4.072 b=4.072 c=4.973 alpha=90.00 beta=90.00 gamma=90.00
Fractional positions:
Sr 0.500 0.500 0.500
S 0.000 0.000 0.500
N 0.000 0.500 0.000
N 0.500 0.000 0.000
Ta 0.000 0.000 0.000

Magnetic moment in μB per cell: 0.00
DOS(E_F) in states/eV/f.u.: 1.46

---

#b
A crystal of SrTaSN2 relaxed with PBEsol, computed with SCAN.

Unit cell a=4.141 b=4.141 c=5.262 alpha=90.00 beta=90.00 gamma=90.00
Each line ends with the local moment (μB).
Fractional positions:
Sr 0.000 0.000 0.000  0.03
S 0.000 0.000 0.500  0.07
N 0.000 0.500 0.000  0.66
N 0.500 0.000 0.000  0.66
Ta 0.500 0.500 0.500  -1.70

Magnetic moment in μB per cell: 0.54
DOS(E_F) in states/eV/f.u.: 2.27

---

Quick one: least stable of them? #b

---

#a
A crystal of TaTeSN2 relaxed with PBEsol, computed with SCAN.

Unit cell a=4.011 b=4.011 c=5.062 alpha=90.00 beta=90.00 gamma=90.00
Fractional positions:
N 0.000 0.500 0.000
N 0.500 0.000 0.000
S 0.000 0.000 0.500
Te 0.500 0.500 0.500
Ta 0.000 0.000 0.000

Magnetic moment in μB per cell: 0.00
DOS(E_F) in states/eV/f.u.: 2.88

---

#b
A crystal of TaTeSN2 relaxed with PBEsol, computed with SCAN.

Unit cell a=3.937 b=3.937 c=4.882 alpha=90.00 beta=90.00 gamma=90.00
Each line ends with the local moment (μB).
Fractional positions:
N 0.000 0.500 0.000  -0.16
N 0.500 0.000 0.000  -0.16
S 0.000 0.000 0.500  -0.05
Te 0.000 0.000 0.000  0.04
Ta 0.500 0.500 0.500  1.59

Magnetic moment in μB per cell: 1.85
DOS(E_F) in states/eV/f.u.: 2.98

---

Quick one: least stable of them? #b

---

#a
A crystal of ZrTeSN2 relaxed with PBEsol, computed with SCAN.

Unit cell a=3.975 b=3.975 c=4.945 alpha=90.00 beta=90.00 gamma=90.00
Fractional positions:
S 0.000 0.000 0.500
Te 0.000 0.000 0.000
Zr 0.500 0.500 0.500
N 0.000 0.500 0.000
N 0.500 0.000 0.000

Magnetic moment in μB per cell: 0.00
DOS(E_F) in states/eV/f.u.: 2.74

---

#b
A crystal of ZrTeSN2 relaxed with PBEsol, computed with SCAN.

Unit cell a=3.967 b=3.967 c=4.803 alpha=90.00 beta=90.00 gamma=90.00
Fractional positions:
S 0.000 0.000 0.000
Te 0.000 0.000 0.500
Zr 0.500 0.500 0.500
N 0.000 0.500 0.000
N 0.500 0.000 0.000

Magnetic moment in μB per cell: 0.00
DOS(E_F) in states/eV/f.u.: 2.86

---

Quick one: least stable of them? #b